[1]
{
  "formula": "Ga2Ag4Au",
  "functional": "GGA-PBE",
  "state": "relaxed",
  "lattice": [[-2.5847, 2.5847, 6.5066], [2.5847, -2.5847, 6.5066], [2.5847, 2.5847, -6.5066]],
  "species": ["Ga", "Ga", "Ag", "Ag", "Ag", "Ag", "Au"],
  "frac_coords": [[0.1003, 0.1003, 0.0000], [0.8997, 0.8997, 0.0000], [0.0000, 0.5000, 0.5000], [0.2916, 0.2916, 0.0000], [0.5000, 0.0000, 0.5000], [0.7084, 0.7084, 0.0000], [0.5000, 0.5000, 0.0000]],
  "delta_e_f_mev_per_atom": 388,
  "sg": "No. 139"
}

[2]
{
  "formula": "K2OsSe",
  "functional": "GGA-PBE",
  "state": "relaxed",
  "lattice": [[2.7964, 0.0000, 0.0000], [0.0000, 5.1976, 0.0000], [0.0000, 0.0000, 6.2023]],
  "species": ["K", "K", "Os", "Se"],
  "frac_coords": [[0.0000, 0.0000, 0.2470], [0.0000, 0.0000, 0.7530], [0.5000, 0.5000, 0.5000], [0.5000, 0.5000, 0.0000]],
  "sg": "No. 47",
  "e_form_raw_ev_per_fu": 2.78
}